Record 1
A plane-wave DFT calculation with meta-GGA SCAN was carried out for a crystal of CoPd2I relaxed with PBEsol.

## Properties
- Magnetization: 10.37 μB per cell
- Formation energy (no corrections): 0.46 eV per atom
- Mass density: 10.21 Mg/m³

Geometry as CIF:
```
data_CoPd2I
_chemical_formula_sum 'Co4 Pd8 I4'
_cell_length_a 6.3783
_cell_length_b 6.3783
_cell_length_c 6.3783
_cell_angle_alpha 90.00
_cell_angle_beta 90.00
_cell_angle_gamma 90.00
_space_group_name_H-M_alt 'F m -3 m'
_space_group_IT_number 225
_space_group_name_Hall '-F 4 2 3'
loop_
_atom_site_label
_atom_site_type_symbol
_atom_site_fract_x
_atom_site_fract_y
_atom_site_fract_z
_atom_site_occupancy
Co1 Co 0.0000 0.0000 0.0000 1
Pd1 Pd 0.2500 0.2500 0.2500 1
I1 I 0.0000 0.0000 0.5000 1
```



Record 2
A plane-wave DFT calculation with meta-GGA SCAN was carried out for a crystal of CoTePdI2 relaxed with PBEsol.

## Properties
- Magnetization: 0.00 μB per cell
- Formation energy (no corrections): 0.72 eV per atom
- Mass density: 7.08 Mg/m³

Geometry as CIF:
```
data_CoTePdI2
_chemical_formula_sum 'Co1 Te1 Pd1 I2'
_cell_length_a 5.2205
_cell_length_b 5.2205
_cell_length_c 4.7077
_cell_angle_alpha 90.00
_cell_angle_beta 90.00
_cell_angle_gamma 90.00
_space_group_name_H-M_alt 'P 4/m m m'
_space_group_IT_number 123
_space_group_name_Hall '-P 4 2'
loop_
_atom_site_label
_atom_site_type_symbol
_atom_site_fract_x
_atom_site_fract_y
_atom_site_fract_z
_atom_site_occupancy
Co1 Co 0.0000 0.0000 0.0000 1
Te1 Te 0.0000 0.0000 0.5000 1
Pd1 Pd 0.5000 0.5000 0.5000 1
I1 I 0.0000 0.5000 0.0000 1
```



Record 3
A plane-wave DFT calculation with meta-GGA SCAN was carried out for a crystal of Pr7CoI12 relaxed with PBEsol.

## Properties
- Magnetization: 0.02 μB per cell
- Formation energy (no corrections): -1.37 eV per atom
- Mass density: 5.60 Mg/m³

Geometry as CIF:
```
data_Pr7CoI12
_chemical_formula_sum 'Pr21 Co3 I36'
_cell_length_a 15.7170
_cell_length_b 15.7170
_cell_length_c 10.6736
_cell_angle_alpha 90.00
_cell_angle_beta 90.00
_cell_angle_gamma 120.00
_space_group_name_H-M_alt 'R -3'
_space_group_IT_number 148
_space_group_name_Hall '-R 3'
loop_
_atom_site_label
_atom_site_type_symbol
_atom_site_fract_x
_atom_site_fract_y
_atom_site_fract_z
_atom_site_occupancy
Pr1 Pr 0.0000 0.0000 0.0000 1
Pr2 Pr 0.0445 0.1595 0.3516 1
Co1 Co 0.0000 0.0000 0.5000 1
I1 I 0.0185 0.5875 0.1640 1
I2 I 0.0526 0.1893 0.8421 1
```